# SrTl2P (PBE, optimized geometry)
# DOS at the Fermi energy ... 0.333 states/eV/atom
# ΔE to the lowest computed polymorph ... 103 meV/atom
# Uncorrected energy ... -0.119 hartree per atom
# Energy of formation ... -0.29 eV per atom
# V ... 29.456 Å³ per atom
data_SrTl2P
_chemical_formula_sum 'Sr4 Tl8 P4'
_cell_length_a 8.690
_cell_length_b 8.690
_cell_length_c 6.241
_cell_angle_alpha 90.00
_cell_angle_beta 90.00
_cell_angle_gamma 90.00
_symmetry_space_group_name_H-M 'I -4 2 d'
_symmetry_Int_Tables_number 122
_symmetry_space_group_name_Hall 'I -4 2bw'
loop_
_atom_site_label
_atom_site_type_symbol
_atom_site_fract_x
_atom_site_fract_y
_atom_site_fract_z
_atom_site_occupancy
Sr1 Sr 0.000 0.000 0.000 1
Tl1 Tl 0.196 0.250 0.625 1
P1 P 0.000 0.000 0.500 1